A plane-wave DFT calculation with GGA-PBE was carried out for LaAlCd after structural relaxation.

The structure in POSCAR format:
```
LaAlCd
1.0
4.859 0.000 0.000
-2.429 4.208 0.000
0.000 0.000 3.811
La Al Cd
1 1 1
Direct
0.000 0.000 0.000
0.667 0.333 0.500
0.333 0.667 0.500
```

Values from the calculation:
Raw total energy = -3.58 eV/atom